1.
{
  "formula": "MnTlBr2",
  "functional": "PBE",
  "state": "optimized geometry",
  "total_magnetization_mub_per_fu": 4.6,
  "crystal_system": "tetragonal",
  "e_above_lowest_polymorph_kj_per_mol_fu": 87,
  "lattice_angstrom": [[-2.644, -0.781, 2.019], [1.366, -3.074, 0.600], [4.563, 3.454, 7.311]],
  "species": ["Br", "Br", "Mn", "Tl"],
  "fractional_positions": [[0.000, 0.000, 0.072], [0.000, 0.000, 0.428], [0.500, 0.500, 0.250], [0.500, 0.500, 0.750]]
}

***

2.
{
  "formula": "Ca2IrOs",
  "functional": "PBE",
  "state": "optimized geometry",
  "formation_enthalpy_0k_ev_per_atom": 0.443,
  "total_magnetization_mub_per_fu": 0.0,
  "crystal_system": "orthorhombic",
  "e_above_lowest_polymorph_kj_per_mol_fu": 173,
  "lattice_angstrom": [[3.254, 0.000, 0.000], [0.000, 4.935, 0.000], [0.000, 0.000, 4.660]],
  "species": ["Ca", "Ca", "Ir", "Os"],
  "fractional_positions": [[0.000, 0.000, 0.000], [0.500, 0.500, 0.000], [0.500, 0.000, 0.500], [0.000, 0.500, 0.500]]
}

***

3.
{
  "formula": "La2PuGe3Pd4",
  "functional": "PBE",
  "state": "optimized geometry",
  "formation_enthalpy_0k_ev_per_atom": -0.772,
  "total_magnetization_mub_per_fu": 5.6,
  "crystal_system": "tetragonal",
  "lattice_angstrom": [[-0.784, -0.652, -4.257], [-3.273, -2.722, 1.019], [-7.097, 8.535, 0.000]],
  "species": ["La", "La", "Pu", "Ge", "Ge", "Ge", "Pd", "Pd", "Pd", "Pd"],
  "fractional_positions": [[0.500, 0.000, 0.229], [0.000, 0.500, 0.771], [0.500, 0.500, 0.500], [0.000, 0.000, 0.500], [0.500, 0.000, 0.882], [0.000, 0.500, 0.118], [0.500, 0.500, 0.000], [0.000, 0.000, 0.000], [0.500, 0.000, 0.658], [0.000, 0.500, 0.342]]
}

***

4.
{
  "formula": "TiPbSe3",
  "functional": "PBE",
  "state": "optimized geometry",
  "total_magnetization_mub_per_fu": 0.0,
  "crystal_system": "monoclinic",
  "e_above_lowest_polymorph_kj_per_mol_fu": 0,
  "lattice_angstrom": [[3.794, 0.000, 0.000], [0.000, 8.121, 0.159], [0.000, -1.638, 8.375]],
  "species": ["Ti", "Ti", "Pb", "Pb", "Se", "Se", "Se", "Se", "Se", "Se"],
  "fractional_positions": [[0.250, 0.846, 0.348], [0.750, 0.154, 0.652], [0.250, 0.401, 0.206], [0.750, 0.599, 0.794], [0.750, 0.645, 0.417], [0.250, 0.355, 0.583], [0.750, 0.278, 0.933], [0.250, 0.940, 0.666], [0.250, 0.722, 0.067], [0.750, 0.060, 0.334]]
}

***

5.
{
  "formula": "LiSi2W",
  "functional": "PBE",
  "state": "optimized geometry",
  "total_magnetization_mub_per_fu": 0.0,
  "crystal_system": "tetragonal",
  "e_above_lowest_polymorph_kj_per_mol_fu": 71,
  "lattice_angstrom": [[3.253, 0.000, 0.000], [0.000, 4.097, 0.000], [0.000, 0.000, 4.097]],
  "species": ["Li", "Si", "Si", "W"],
  "fractional_positions": [[0.500, 0.000, 0.500], [0.000, 0.000, 0.000], [0.000, 0.500, 0.500], [0.500, 0.500, 0.000]]
}

***

6.
{
  "formula": "CeTePd",
  "functional": "PBE",
  "state": "optimized geometry",
  "total_magnetization_mub_per_fu": 0.2,
  "crystal_system": "tetragonal",
  "e_above_lowest_polymorph_kj_per_mol_fu": 50,
  "lattice_angstrom": [[-1.521, 3.560, -0.627], [-2.260, -0.405, 3.179], [5.286, 0.342, 1.382]],
  "species": ["Te", "Ce", "Pd"],
  "fractional_positions": [[0.954, 0.954, 0.907], [0.621, 0.621, 0.242], [0.275, 0.275, 0.550]]
}